# MnSe2NO

A relaxed structure of MnSe2NO (PBE+U, Alexandria via LeMat-Bulk).

Summary:
Density of states at the Fermi level = 4.48 states/eV/cell
Total DFT energy (no corrections) = -4.272 eV per atom
Symmetry = P4/mmm (123)

abc: 4.789 4.789 3.416
angles: 90.00 90.00 90.00
Each line ends with the local moment (μB).
Sites, in units of the cell vectors:
N  0.000  0.000  0.500  -0.25
Se  0.500  0.000  0.000  -0.18
Se  0.000  0.500  0.000  -0.18
Mn  0.000  0.000  0.000  0.81
O  0.500  0.500  0.500  0.61